# 1
A relaxed Pr8Nd6Al crystal. Source: Alexandria via LeMat-Bulk, functional GGA-PBE.

abc: 6.636 9.553 9.553
angles: 120.00 90.00 90.00
Fractional coordinates of all 15 atoms:
Nd: 0.671 0.906 0.552
Nd: 0.671 0.646 0.094
Nd: 0.671 0.448 0.354
Nd: 0.329 0.552 0.646
Nd: 0.329 0.094 0.448
Nd: 0.329 0.354 0.906
Pr: 0.190 0.779 0.043
Pr: 0.190 0.957 0.736
Pr: 0.858 0.333 0.667
Pr: 0.810 0.043 0.264
Pr: 0.810 0.736 0.779
Pr: 0.142 0.667 0.333
Pr: 0.810 0.221 0.957
Pr: 0.190 0.264 0.221
Al: 0.500 0.000 0.000

**SG**: No. 147
**Energy**: -4.633 eV/atom
**Total moment**: 0.00 μB/atom
**DOS(E_F)**: 20.67 states/eV per cell

# 2
A relaxed AcTbTmHg crystal. Source: Alexandria via LeMat-Bulk, functional GGA-PBE.

abc: 5.555 5.555 5.555
angles: 60.00 60.00 60.00
Fractional coordinates of all 4 atoms:
Ac: 0.000 0.000 0.000
Tb: 0.250 0.250 0.250
Tm: 0.750 0.750 0.750
Hg: 0.500 0.500 0.500

**SG**: No. 216
**Energy**: -3.310 eV/atom
**Total moment**: 0.00 μB/atom
**DOS(E_F)**: 6.55 states/eV per cell

# 3
A relaxed AlZnRh4 crystal. Source: Alexandria via LeMat-Bulk, functional GGA-PBE.

abc: 5.094 5.094 5.094
angles: 60.00 60.00 60.00
Fractional coordinates of all 6 atoms:
Rh: 0.375 0.375 0.875
Rh: 0.375 0.375 0.375
Rh: 0.875 0.375 0.375
Rh: 0.375 0.875 0.375
Al: 0.000 0.000 0.000
Zn: 0.750 0.750 0.750

**SG**: No. 216
**Energy**: -5.707 eV/atom
**Total moment**: 0.00 μB/atom
**DOS(E_F)**: 6.58 states/eV per cell

# 4
A relaxed Tl3Cl crystal. Source: Alexandria via LeMat-Bulk, functional GGA-PBE.

abc: 6.368 6.368 6.368
angles: 116.51 116.51 116.51
Fractional coordinates of all 4 atoms:
Tl: 0.500 0.500 0.000
Tl: 0.000 0.500 0.500
Tl: 0.500 0.000 0.500
Cl: 0.000 0.000 0.000

**SG**: No. 166
**Energy**: -2.574 eV/atom
**Total moment**: 0.00 μB/atom
**DOS(E_F)**: 1.82 states/eV per cell